4
Lattice="-2.900 1.209 1.801 -0.745 -1.283 3.304 2.444 4.759 4.384" Properties=species:S:1:pos:R:3 comment="Dy2NiC (PBE, optimized geometry)" crystal_system=trigonal delta_e_f_mev_per_atom=-183 dos_ef_per_ev_atom=0.186 space_group="R-3m, No. 166" pbc="T T T"
C -0.600 2.342 4.745
Dy -1.059 3.307 7.001
Dy -0.142 1.378 2.488
Ni 0.000 0.000 0.000